ZrAlIr | PBE-GGA | relaxed

Geometry as POSCAR:
```
ZrAlIr
1.0
0.0000 3.1476 3.1476
3.1476 0.0000 3.1476
3.1476 3.1476 0.0000
Zr Al Ir
1 1 1
Direct
0.0000 0.0000 0.0000
0.2500 0.2500 0.2500
0.7500 0.7500 0.7500
```

- E (eV per atom) = -7.02
- total moment (μB/f.u.) = 0.001